1.
# Li2PrSc

A geometry-optimized Li2PrSc structure (GGA-PBE, Alexandria via LeMat-Bulk).

## Properties
Space-group type   Fm-3m
DFT formation energy   181 meV per atom
Relative energy among the computed polymorphs   0 meV per atom
N(E_F)   5.52 states/eV/f.u.
V   98.84 Å³ per cell

Unit cell a=5.1897 b=5.1897 c=5.1897 alpha=60.00 beta=60.00 gamma=60.00
Last column: nearest neighbours and their distance in Å.
Fractional coordinates of all 4 atoms:
Li  0.2500  0.2500  0.2500  4 Pr 3.18, 4 Sc 3.18
Li  0.7500  0.7500  0.7500  4 Pr 3.18, 4 Sc 3.18
Pr  0.0000  0.0000  0.0000  8 Li 3.18
Sc  0.5000  0.5000  0.5000  8 Li 3.18

***

2.
# Li2PrSc

A geometry-optimized Li2PrSc structure (GGA-PBE, Alexandria via LeMat-Bulk).

## Properties
Space-group type   P4/mmm
DFT formation energy   184 meV per atom
Relative energy among the computed polymorphs   3 meV per atom
N(E_F)   5.39 states/eV/f.u.
V   98.11 Å³ per cell

Unit cell a=3.6345 b=3.6345 c=7.4273 alpha=90.00 beta=90.00 gamma=90.00
Last column: nearest neighbours and their distance in Å.
Fractional coordinates of all 4 atoms:
Li  0.0000  0.0000  0.2257  4 Sc 3.07, 4 Pr 3.28, 1 Li 3.35
Li  0.0000  0.0000  0.7743  4 Sc 3.07, 4 Pr 3.28, 1 Li 3.35
Pr  0.5000  0.5000  0.5000  8 Li 3.28, 4 Pr 3.63
Sc  0.5000  0.5000  0.0000  8 Li 3.07

***

3.
# Li3Pr2ScSe6

A geometry-optimized Li3Pr2ScSe6 structure (GGA-PBE, Alexandria via LeMat-Bulk).

## Properties
Space-group type   C2/m
ΔE_f (raw)   -1619 meV/atom
V   287.95 Å³ per cell

Unit cell a=7.1584 b=7.1584 c=6.9058 alpha=99.74 beta=99.74 gamma=120.13
Last column: nearest neighbours and their distance in Å.
Fractional coordinates of all 12 atoms:
Li  0.0000  0.0000  0.0000  6 Se 2.81-2.99
Li  0.3441  0.6559  0.0000  4 Se 2.74-2.78
Li  0.6559  0.3441  0.0000  4 Se 2.74-2.78
Pr  0.1677  0.8323  0.5000  6 Se 2.96-2.97
Pr  0.8323  0.1677  0.5000  6 Se 2.96-2.97
Sc  0.5000  0.5000  0.5000  6 Se 2.76-2.78
Se  0.1048  0.4158  0.2446  1 Sc 2.78, 3 Li 2.78-3.11, 2 Pr 2.97
Se  0.2700  0.2700  0.7502  3 Li 2.74-2.99, 1 Sc 2.76, 2 Pr 2.96
Se  0.4158  0.1048  0.2446  1 Sc 2.78, 3 Li 2.78-3.11, 2 Pr 2.97
Se  0.5842  0.8952  0.7554  1 Sc 2.78, 3 Li 2.78-3.11, 2 Pr 2.97
Se  0.7300  0.7300  0.2498  3 Li 2.74-2.99, 1 Sc 2.76, 2 Pr 2.96
Se  0.8952  0.5842  0.7554  1 Sc 2.78, 3 Li 2.78-3.11, 2 Pr 2.97

***

4.
# Li2PrSc3Se6

A geometry-optimized Li2PrSc3Se6 structure (GGA-PBE, Alexandria via LeMat-Bulk).

## Properties
Space-group type   C2/m
ΔE_f (raw)   -1636 meV/atom
N(E_F)   3.68 states/eV/f.u.
V   264.12 Å³ per cell

Unit cell a=6.7945 b=6.7945 c=6.9900 alpha=99.40 beta=99.40 gamma=120.00
Last column: nearest neighbours and their distance in Å.
Fractional coordinates of all 12 atoms:
Li  0.1690  0.8310  0.0000  6 Se 2.80-2.83
Li  0.8310  0.1690  0.0000  6 Se 2.80-2.83
Pr  0.5000  0.5000  0.0000  6 Se 2.92-2.93
Sc  0.0000  0.0000  0.5000  6 Se 2.69-2.79
Sc  0.3364  0.6636  0.5000  6 Se 2.70-2.79
Sc  0.6636  0.3364  0.5000  6 Se 2.70-2.79
Se  0.0660  0.4127  0.7370  3 Sc 2.70-2.79, 2 Li 2.80-2.82, 1 Pr 2.92
Se  0.2404  0.2404  0.2620  3 Sc 2.69-2.77, 2 Li 2.83, 1 Pr 2.93
Se  0.4127  0.0660  0.7370  3 Sc 2.70-2.79, 2 Li 2.80-2.82, 1 Pr 2.92
Se  0.5873  0.9340  0.2630  3 Sc 2.70-2.79, 2 Li 2.80-2.82, 1 Pr 2.92
Se  0.7596  0.7596  0.7380  3 Sc 2.69-2.77, 2 Li 2.83, 1 Pr 2.93
Se  0.9340  0.5873  0.2630  3 Sc 2.70-2.79, 2 Li 2.80-2.82, 1 Pr 2.92

***

Among the records above, which one has the highest V? Li3Pr2ScSe6

***

The lowest V belongs to which entry? number 2